Record 1
# Th6Os3AuS2 PBE optimized geometry
data_Th6Os3AuS2
_space_group_name_H-M_alt 'P 1'
_space_group_IT_number 1
_cell_length_a 9.428
_cell_length_b 9.428
_cell_length_c 8.537
_cell_angle_alpha 104.15
_cell_angle_beta 104.15
_cell_angle_gamma 25.25
loop_
_space_group_symop_operation_xyz
'x,y,z'
loop_
_atom_site_label
_atom_site_type_symbol
_atom_site_fract_x
_atom_site_fract_y
_atom_site_fract_z
_atom_site_occupancy
Th1 Th 0.001 0.001 0.228 1
Th2 Th 0.323 0.323 0.422 1
Th3 Th 0.339 0.339 0.895 1
Th4 Th 0.661 0.661 0.105 1
Th5 Th 0.677 0.677 0.578 1
Th6 Th 0.999 0.999 0.772 1
Os1 Os 0.166 0.166 0.338 1
Os2 Os 0.500 0.500 0.000 1
Os3 Os 0.834 0.834 0.662 1
Au1 Au 0.500 0.500 0.500 1
S1 S 0.172 0.172 0.847 1
S2 S 0.828 0.828 0.153 1
# - Crystal system: monoclinic
# - Uncorrected formation energy: -0.87 eV per atom



Record 2
# Tb2Sn2Pd7 PBE optimized geometry
data_Tb2Sn2Pd7
_space_group_name_H-M_alt 'P 1'
_space_group_IT_number 1
_cell_length_a 6.596
_cell_length_b 6.596
_cell_length_c 5.573
_cell_angle_alpha 90.00
_cell_angle_beta 90.00
_cell_angle_gamma 95.18
loop_
_space_group_symop_operation_xyz
'x,y,z'
loop_
_atom_site_label
_atom_site_type_symbol
_atom_site_fract_x
_atom_site_fract_y
_atom_site_fract_z
_atom_site_occupancy
Tb1 Tb 0.208 0.208 0.000 1
Tb2 Tb 0.792 0.792 0.000 1
Sn1 Sn 0.270 0.730 0.500 1
Sn2 Sn 0.730 0.270 0.500 1
Pd1 Pd 0.000 0.000 0.500 1
Pd2 Pd 0.000 0.500 0.246 1
Pd3 Pd 0.000 0.500 0.754 1
Pd4 Pd 0.500 0.000 0.246 1
Pd5 Pd 0.500 0.000 0.754 1
Pd6 Pd 0.500 0.500 0.241 1
Pd7 Pd 0.500 0.500 0.759 1
# - Crystal system: orthorhombic
# - Energy of formation: -0.4085 eV/atom



Record 3
# NiAgP2 PBE optimized geometry
data_NiAgP2
_space_group_name_H-M_alt 'P 1'
_space_group_IT_number 1
_cell_length_a 6.166
_cell_length_b 6.166
_cell_length_c 6.166
_cell_angle_alpha 90.00
_cell_angle_beta 90.00
_cell_angle_gamma 90.00
loop_
_space_group_symop_operation_xyz
'x,y,z'
loop_
_atom_site_label
_atom_site_type_symbol
_atom_site_fract_x
_atom_site_fract_y
_atom_site_fract_z
_atom_site_occupancy
Ni1 Ni 0.000 0.000 0.000 1
Ni2 Ni 0.000 0.500 0.500 1
Ni3 Ni 0.500 0.000 0.500 1
Ni4 Ni 0.500 0.500 0.000 1
Ag1 Ag 0.000 0.000 0.500 1
Ag2 Ag 0.000 0.500 0.000 1
Ag3 Ag 0.500 0.000 0.000 1
Ag4 Ag 0.500 0.500 0.500 1
P1 P 0.250 0.250 0.250 1
P2 P 0.250 0.250 0.750 1
P3 P 0.250 0.750 0.250 1
P4 P 0.250 0.750 0.750 1
P5 P 0.750 0.250 0.250 1
P6 P 0.750 0.250 0.750 1
P7 P 0.750 0.750 0.250 1
P8 P 0.750 0.750 0.750 1
# - Crystal system: cubic
# - E above lowest polymorph: 0.4402 eV/atom
# - Energy of formation: 0.3629 eV/atom



Copy entry 2 word for word.
# Tb2Sn2Pd7 PBE optimized geometry
data_Tb2Sn2Pd7
_space_group_name_H-M_alt 'P 1'
_space_group_IT_number 1
_cell_length_a 6.596
_cell_length_b 6.596
_cell_length_c 5.573
_cell_angle_alpha 90.00
_cell_angle_beta 90.00
_cell_angle_gamma 95.18
loop_
_space_group_symop_operation_xyz
'x,y,z'
loop_
_atom_site_label
_atom_site_type_symbol
_atom_site_fract_x
_atom_site_fract_y
_atom_site_fract_z
_atom_site_occupancy
Tb1 Tb 0.208 0.208 0.000 1
Tb2 Tb 0.792 0.792 0.000 1
Sn1 Sn 0.270 0.730 0.500 1
Sn2 Sn 0.730 0.270 0.500 1
Pd1 Pd 0.000 0.000 0.500 1
Pd2 Pd 0.000 0.500 0.246 1
Pd3 Pd 0.000 0.500 0.754 1
Pd4 Pd 0.500 0.000 0.246 1
Pd5 Pd 0.500 0.000 0.754 1
Pd6 Pd 0.500 0.500 0.241 1
Pd7 Pd 0.500 0.500 0.759 1
# - Crystal system: orthorhombic
# - Energy of formation: -0.4085 eV/atom